# 1
Material: CaMn2Cr
Method: DFT, GGA-PBE
State: relaxed

As for the density of states at the Fermi level: 6.03 states/eV per cell. The mass density is 4.5 g/cm3.

The space group is Imm2 (No. 44) and the conventional cell measures 3.3784, 4.4197 and 10.0604 Å, with angles of 90.00, 90.00 and 90.00 degrees. The asymmetric unit holds Ca at (0.0000, 0.0000, 0.0000), Mn at (0.0000, 0.0000, 0.4073), Mn at (0.0000, 0.5000, 0.2341) and Cr at (0.0000, 0.5000, 0.7572).

# 2
Material: CaMn2Cr
Method: DFT, GGA-PBE
State: relaxed

As for the density of states at the Fermi level: 3.30 states/eV per cell. The mass density is 4.6 g/cm3.

The space group is Pmmm (No. 47) and the conventional cell measures 3.4639, 4.5655 and 4.6157 Å, with angles of 90.00, 90.00 and 90.00 degrees. The asymmetric unit holds Ca at (0.0000, 0.0000, 0.0000), Mn at (0.0000, 0.5000, 0.5000), Mn at (0.5000, 0.5000, 0.0000) and Cr at (0.5000, 0.0000, 0.5000).

| no. | uncorrected energy (eV/atom) |
| --- | --- |
| 1 | -6.92 |
| 2 | -6.80 |